Material: BaNdEr4Se8
Method: DFT, PBE
State: relaxed

Computed properties:
E_tot = -5.53 eV per atom
formation energy without anion corrections = -24.6 eV per formula unit
magnetic moment = 0.00 μB/atom

Unit cell a=8.5447 b=8.5447 c=21.3843 alpha=90.00 beta=90.00 gamma=120.00
Space group R3m (No. 160, hexagonal axes)
One atom of each set of equivalent atoms:
Ba1 0.0000 0.0000 0.0000 x3
Nd1 0.0000 0.0000 0.3695 x3
Er1 0.0000 0.0000 0.7460 x3
Er2 0.0038 0.5019 0.8722 x9
Se1 0.0000 0.0000 0.1405 x3
Se2 0.0000 0.0000 0.6142 x3
Se3 0.0125 0.5062 0.1269 x9
Se4 0.1865 0.3731 0.9451 x9

***

Material: ZrCuAu
Method: DFT, PBE
State: relaxed

Computed properties:
energy above the lowest structure with this stoichiometry = 0.25 eV/f.u.
E_tot = -5.59 eV per atom
energy of formation from the pure elements = -0.283 eV/atom
magnetic moment = 0.15 μB/atom

Unit cell a=4.2146 b=4.3369 c=6.0631 alpha=90.00 beta=110.35 gamma=90.00
Space group P2_1/m (No. 11)
One atom of each set of equivalent atoms:
Zr1 0.1000 0.2500 0.1991 x2
Cu1 0.2440 0.7500 0.4894 x2
Au1 0.4074 0.2500 0.8149 x2

***

Material: PrGdSnPb
Method: DFT, PBE
State: relaxed

Computed properties:
E_tot = -7.15 eV per atom
energy of formation from the pure elements = -0.511 eV/atom
magnetic moment = 1.85 μB/atom

Unit cell a=7.8036 b=7.8036 c=7.8036 alpha=90.00 beta=90.00 gamma=90.00
Space group F-43m (No. 216)
One atom of each set of equivalent atoms:
Pr1 0.0000 0.0000 0.0000 x4
Gd1 0.0000 0.0000 0.5000 x4
Sn1 0.2500 0.2500 0.2500 x4
Pb1 0.2500 0.2500 0.7500 x4

***

Material: Sn2PdF8
Method: DFT, PBE
State: relaxed

Computed properties:
E_tot = -4.50 eV per atom
formation energy without anion corrections = -21.3 eV per formula unit
magnetic moment = 0.02 μB/atom

Unit cell a=10.2052 b=6.8087 c=5.2617 alpha=90.00 beta=103.22 gamma=90.00
Space group C2/m (No. 12)
One atom of each set of equivalent atoms:
Sn1 0.2275 0.0000 0.4405 x4
Pd1 0.0000 0.0000 0.0000 x2
F1 0.1139 0.0000 0.7064 x4
F2 0.1462 0.2918 0.3292 x8
F3 0.1641 0.5000 0.8179 x4

***

Material: YSc3Rh
Method: DFT, PBE
State: relaxed

Computed properties:
energy above the lowest structure with this stoichiometry = 0.45 eV/f.u.
E_tot = -6.82 eV per atom
energy of formation from the pure elements = -0.256 eV/atom
magnetic moment = 0.00 μB/atom

Unit cell a=5.0693 b=5.0693 c=5.0693 alpha=90.00 beta=90.00 gamma=90.00
Space group Pm-3m (No. 221)
One atom of each set of equivalent atoms:
Y1 0.0000 0.0000 0.0000 x1
Sc1 0.0000 0.5000 0.5000 x3
Rh1 0.5000 0.5000 0.5000 x1

***

Material: La3TbDy2Er6
Method: DFT, PBE
State: relaxed

Computed properties:
E_tot = -4.64 eV per atom
energy of formation from the pure elements = 0.023 eV/atom
magnetic moment = 0.00 μB/atom

Unit cell a=6.2070 b=10.7520 c=11.7831 alpha=90.00 beta=100.11 gamma=90.00
Space group C2/m (No. 12)
One atom of each set of equivalent atoms:
La1 0.0000 0.0000 0.0000 x2
La2 0.0000 0.3333 0.0000 x4
Tb1 0.0000 0.5000 0.5000 x2
Dy1 0.0000 0.1667 0.5000 x4
Er1 0.2479 0.0000 0.7446 x4
Er2 0.2481 0.3333 0.7446 x8

***

Material: Th4Bi2SbP
Method: DFT, PBE
State: relaxed

Computed properties:
E_tot = -6.76 eV per atom
formation energy without anion corrections = -7.1 eV per formula unit
magnetic moment = 0.00 μB/atom

Unit cell a=7.7415 b=4.3924 c=7.8186 alpha=90.00 beta=108.79 gamma=90.00
Space group P2/m (No. 10)
One atom of each set of equivalent atoms:
Th1 0.2202 0.0000 0.2146 x2
Th2 0.2359 0.5000 0.7759 x2
Bi1 0.0000 0.0000 0.5000 x1
Bi2 0.5000 0.5000 0.5000 x1
Sb1 0.5000 0.0000 0.0000 x1
P1 0.0000 0.5000 0.0000 x1

***

Material: Rb2LiIn2F6
Method: DFT, PBE
State: relaxed

Computed properties:
E_tot = -4.16 eV per atom
formation energy without anion corrections = -25.2 eV per formula unit
magnetic moment = 0.05 μB/atom

Unit cell a=10.7480 b=6.3029 c=7.2589 alpha=90.00 beta=118.71 gamma=90.00
Space group C2/m (No. 12)
One atom of each set of equivalent atoms:
Rb1 0.2007 0.0000 0.1193 x4
Li1 0.0000 0.0000 0.5000 x2
In1 0.0754 0.5000 0.2414 x4
F1 0.0559 0.2474 0.7354 x8
F2 0.2129 0.0000 0.4997 x4

***

Material: Li2NiIrN
Method: DFT, PBE
State: relaxed

Computed properties:
energy above the lowest structure with this stoichiometry = 7.98 eV/f.u.
E_tot = -3.85 eV per atom
formation energy without anion corrections = 7.5 eV per formula unit
magnetic moment = 0.00 μB/atom

Unit cell a=4.0637 b=4.0637 c=4.4547 alpha=90.00 beta=90.00 gamma=90.00
Space group P4/mmm (No. 123)
One atom of each set of equivalent atoms:
Li1 0.0000 0.5000 0.0000 x2
Ni1 0.0000 0.0000 0.0000 x1
Ir1 0.0000 0.0000 0.5000 x1
N1 0.5000 0.5000 0.5000 x1

***

Material: BaLa2ZnPt
Method: DFT, PBE
State: relaxed

Computed properties:
E_tot = -4.05 eV per atom
energy of formation from the pure elements = -0.232 eV/atom
magnetic moment = 0.00 μB/atom

Unit cell a=5.6270 b=5.6270 c=6.3596 alpha=90.00 beta=90.00 gamma=90.00
Space group P4/mmm (No. 123)
One atom of each set of equivalent atoms:
Ba1 0.0000 0.0000 0.0000 x1
La1 0.0000 0.5000 0.5000 x2
Zn1 0.5000 0.5000 0.0000 x1
Pt1 0.0000 0.0000 0.5000 x1

***

Material: LaCo
Method: DFT, PBE
State: relaxed

Computed properties:
E_tot = -6.13 eV per atom
energy of formation from the pure elements = -0.113 eV/atom
magnetic moment = 0.24 μB/atom

Unit cell a=4.7575 b=4.7575 c=4.6409 alpha=90.00 beta=90.00 gamma=120.00
Space group P6_3/mmc (No. 194)
One atom of each set of equivalent atoms:
La1 0.3333 0.6667 0.2500 x2
Co1 0.0000 0.0000 0.0000 x2

***

Material: HgTeAu2
Method: DFT, PBE
State: relaxed

Computed properties:
energy above the lowest structure with this stoichiometry = 0.02 eV/f.u.
E_tot = -2.46 eV per atom
formation energy without anion corrections = 0.2 eV per formula unit
magnetic moment = 0.00 μB/atom

Unit cell a=4.7499 b=4.7613 c=5.0307 alpha=90.00 beta=92.64 gamma=90.00
Space group Pm (No. 6)
One atom of each set of equivalent atoms:
Hg1 0.0000 0.0000 0.0000 x1
Te1 0.6222 0.5000 0.6072 x1
Au1 0.3829 0.5000 0.0796 x1
Au2 0.5045 0.0000 0.3676 x1

***

Material: TlAg2Os
Method: DFT, PBE
State: relaxed

Computed properties:
energy above the lowest structure with this stoichiometry = 0.69 eV/f.u.
E_tot = -4.02 eV per atom
energy of formation from the pure elements = 0.807 eV/atom
magnetic moment = 0.21 μB/atom

Unit cell a=4.0214 b=4.0214 c=9.1002 alpha=90.00 beta=90.00 gamma=90.00
Space group I4/mmm (No. 139)
One atom of each set of equivalent atoms:
Tl1 0.0000 0.0000 0.0000 x2
Ag1 0.0000 0.5000 0.2500 x4
Os1 0.0000 0.0000 0.5000 x2

***

Material: CaFeCo2
Method: DFT, PBE
State: relaxed

Computed properties:
energy above the lowest structure with this stoichiometry = 1.79 eV/f.u.
E_tot = -5.57 eV per atom
energy of formation from the pure elements = 0.598 eV/atom
magnetic moment = 1.36 μB/atom

Unit cell a=2.8988 b=2.8988 c=24.8543 alpha=90.00 beta=90.00 gamma=120.00
Space group R-3m (No. 166, hexagonal axes)
One atom of each set of equivalent atoms:
Ca1 0.0000 0.0000 0.0000 x3
Fe1 0.0000 0.0000 0.5000 x3
Co1 0.0000 0.0000 0.2375 x6

***

Material: BeTeAs2
Method: DFT, PBE
State: relaxed

Computed properties:
energy above the lowest structure with this stoichiometry = 0.77 eV/f.u.
E_tot = -3.80 eV per atom
formation energy without anion corrections = 1.0 eV per formula unit
magnetic moment = 0.00 μB/atom

Unit cell a=3.8606 b=4.8193 c=9.0114 alpha=90.00 beta=90.00 gamma=90.00
Space group Cmmm (No. 65)
One atom of each set of equivalent atoms:
Be1 0.0000 0.0000 0.0000 x2
Te1 0.0000 0.0000 0.5000 x2
As1 0.0000 0.5000 0.1495 x4

***

Material: CoRh2W
Method: DFT, PBE
State: relaxed

Computed properties:
energy above the lowest structure with this stoichiometry = 0.86 eV/f.u.
E_tot = -8.62 eV per atom
energy of formation from the pure elements = 0.074 eV/atom
magnetic moment = 0.00 μB/atom

Unit cell a=3.1374 b=3.1374 c=5.7159 alpha=90.00 beta=90.00 gamma=90.00
Space group P4mm (No. 99)
One atom of each set of equivalent atoms:
Co1 0.0000 0.0000 0.0000 x1
Rh1 0.0000 0.0000 0.5389 x1
Rh2 0.5000 0.5000 0.2425 x1
W1 0.5000 0.5000 0.8025 x1

***

Material: MgScIn2
Method: DFT, PBE
State: relaxed

Computed properties:
E_tot = -3.51 eV per atom
energy of formation from the pure elements = -0.157 eV/atom
magnetic moment = 0.00 μB/atom

Unit cell a=3.3296 b=3.3296 c=29.7482 alpha=90.00 beta=90.00 gamma=120.00
Space group R3m (No. 160, hexagonal axes)
One atom of each set of equivalent atoms:
Mg1 0.0000 0.0000 0.0000 x3
Sc1 0.0000 0.0000 0.8340 x3
In1 0.0000 0.0000 0.2505 x3
In2 0.0000 0.0000 0.4167 x3

***

Material: TmPuSc2
Method: DFT, PBE
State: relaxed

Computed properties:
energy above the lowest structure with this stoichiometry = 0.08 eV/f.u.
E_tot = -7.77 eV per atom
energy of formation from the pure elements = 0.100 eV/atom
magnetic moment = 1.60 μB/atom

Unit cell a=3.3060 b=4.7344 c=6.6706 alpha=90.00 beta=90.00 gamma=90.00
Space group Pmmm (No. 47)
One atom of each set of equivalent atoms:
Tm1 0.0000 0.0000 0.0000 x1
Pu1 0.0000 0.0000 0.5000 x1
Sc1 0.5000 0.5000 0.2576 x2

***

Material: Ce2Tl
Method: DFT, PBE
State: relaxed

Computed properties:
E_tot = -4.80 eV per atom
energy of formation from the pure elements = -0.059 eV/atom
magnetic moment = 0.32 μB/atom

Unit cell a=3.4724 b=14.2977 c=3.1994 alpha=90.00 beta=90.00 gamma=90.00
Space group Cmmm (No. 65)
One atom of each set of equivalent atoms:
Ce1 0.0000 0.1728 0.0000 x4
Tl1 0.0000 0.5000 0.5000 x2

***

Material: Li7Zn
Method: DFT, PBE
State: relaxed

Computed properties:
energy above the lowest structure with this stoichiometry = 0.00 eV/f.u.
E_tot = -1.87 eV per atom
energy of formation from the pure elements = -0.040 eV/atom
magnetic moment = 0.00 μB/atom

Unit cell a=4.6605 b=4.6605 c=23.0525 alpha=90.00 beta=90.00 gamma=120.00
Space group R-3m (No. 166, hexagonal axes)
One atom of each set of equivalent atoms:
Li1 0.0000 0.0000 0.0000 x3
Li2 0.0000 0.0000 0.1294 x6
Li3 0.0000 0.0000 0.2469 x6
Li4 0.0000 0.0000 0.3796 x6
Zn1 0.0000 0.0000 0.5000 x3